Arrangement a

Sm2Dy3Th2 | Alexandria via LeMat-Bulk | PBE | relaxed; M_tot = 0.000 μB per atom
1.0
-1.1757 -0.3520 3.3783
-7.8433 -5.2105 -1.3617
1.2648 -7.5438 -2.2618
Dy Sm Th
3 2 2
Cartesian
-3.1709 -8.8582 -0.1161
0.0000 0.0000 0.0000
-4.5834 -4.2481 -0.1290
-1.4198 -3.1410 1.0921
-6.3345 -9.9654 -1.3373
-1.7001 -5.8801 -1.2063
-6.0541 -7.2263 0.9611

Arrangement b

Sm2Dy3Th2 | Alexandria via LeMat-Bulk | PBE | relaxed; M_tot = 0.000 μB per atom
1.0
3.4531 0.0000 0.0000
0.0000 8.5825 -0.8538
-1.7265 -3.5440 8.0560
Dy Sm Th
3 2 2
Cartesian
0.0000 5.3228 2.7950
0.0000 4.2913 -0.4269
1.7265 -0.2843 4.4072
1.7265 7.3559 0.2357
0.0000 -2.3173 6.9664
1.7265 3.1157 5.0272
0.0000 1.9229 2.1749

Energy relative to the most stable one, in eV/atom: arrangement a 0.000; arrangement b 0.111